Material: La2ScS2O2
Method: DFT, PBE
State: relaxed

The structure in extended XYZ format:
```
14
Lattice="4.144 0.000 0.000 0.000 4.144 0.000 0.000 0.000 14.947" Properties=species:S:1:pos:R:3 pbc="T T T"
La 0.000 0.000 1.937
La 0.000 0.000 13.010
La 2.072 2.072 5.536
La 2.072 2.072 9.410
Sc 0.000 0.000 7.473
Sc 2.072 2.072 0.000
S 0.000 0.000 4.866
S 0.000 0.000 10.081
S 2.072 2.072 2.608
S 2.072 2.072 12.339
O 0.000 2.072 0.000
O 0.000 2.072 7.473
O 2.072 0.000 0.000
O 2.072 0.000 7.473
```

DOS at the Fermi energy in states/eV per cell: 5.82
Symmetry: I4/mmm, No. 139
Formation energy without anion corrections in eV/atom: -2.737
Total energy in eV/cell: -107.0

***

Material: LaScSO2
Method: DFT, PBE
State: relaxed

The structure in extended XYZ format:
```
5
Lattice="3.976 0.000 0.000 0.000 3.976 0.000 0.000 0.000 5.876" Properties=species:S:1:pos:R:3 pbc="T T T"
La 0.000 0.000 0.000
Sc 1.988 1.988 2.061
S 1.988 1.988 4.568
O 0.000 1.988 1.404
O 1.988 0.000 1.404
```

DOS at the Fermi energy in states/eV per cell: 0.00
Symmetry: P4mm, No. 99
Formation energy without anion corrections in eV/atom: -3.110
Total energy in eV/cell: -40.9

***

Material: LaScS2O
Method: DFT, PBE
State: relaxed

The structure in extended XYZ format:
```
10
Lattice="3.906 0.000 0.000 0.000 3.906 0.000 0.000 0.000 13.443" Properties=species:S:1:pos:R:3 pbc="T T T"
La 0.977 0.977 1.305
La 2.930 2.930 12.137
Sc 0.977 0.977 8.219
Sc 2.930 2.930 5.224
S 0.977 0.977 5.525
S 0.977 0.977 10.558
S 2.930 2.930 2.884
S 2.930 2.930 7.917
O 0.977 2.930 0.000
O 2.930 0.977 0.000
```

DOS at the Fermi energy in states/eV per cell: 0.36
Symmetry: P4/nmm, No. 129
Formation energy without anion corrections in eV/atom: -2.460
Total energy in eV/cell: -73.5

***

Material: LaSe2SO
Method: DFT, PBE
State: relaxed

The structure in extended XYZ format:
```
5
Lattice="4.343 0.000 0.000 0.000 4.343 0.000 0.000 0.000 5.458" Properties=species:S:1:pos:R:3 pbc="T T T"
La 0.000 0.000 0.000
Se 0.000 2.171 2.729
Se 2.171 0.000 2.729
S 2.171 2.171 0.000
O 0.000 0.000 2.729
```

DOS at the Fermi energy in states/eV per cell: 2.42
Symmetry: P4/mmm, No. 123
Formation energy without anion corrections in eV/atom: -0.774
Total energy in eV/cell: -24.9

***

Material: La4Si2S3O7
Method: DFT, PBE
State: relaxed

The structure in extended XYZ format:
```
64
Lattice="-6.103 6.103 7.234 6.103 -6.103 7.234 6.103 6.103 -7.234" Properties=species:S:1:pos:R:3 pbc="T T T"
La 2.088 -0.963 1.809
La 10.118 -0.963 1.809
La 6.103 0.161 2.269
La 2.088 5.140 -1.809
La 4.015 -0.963 5.426
La 3.212 3.052 1.348
La 8.994 3.052 1.348
La 0.000 0.161 4.965
La 6.103 5.942 2.269
La -2.891 3.052 5.886
La 2.891 3.052 5.886
La 2.088 7.066 1.809
La 4.015 0.963 9.043
La 0.000 5.942 4.965
La -4.015 7.066 5.426
La 4.015 7.066 5.426
Si 4.596 3.052 -2.202
Si 7.610 3.052 -2.202
Si 0.000 1.544 1.416
Si 0.000 4.559 1.416
Si 6.103 1.544 5.819
Si 6.103 4.559 5.819
Si -1.507 3.052 9.436
Si 1.507 3.052 9.436
S 4.283 0.000 0.000
S 7.924 0.000 0.000
S 6.103 -3.052 5.426
S 3.052 7.334 -3.617
S 3.052 1.231 3.617
S 6.103 3.052 1.809
S 4.283 6.103 0.000
S 1.820 0.000 7.234
S 0.000 3.052 5.426
S -3.052 4.872 3.617
S 3.052 4.872 3.617
S 0.000 9.155 1.809
O 4.394 -1.620 2.981
O 7.812 -1.620 2.981
O 6.103 3.052 -1.521
O 1.432 1.343 0.636
O 10.774 1.343 0.636
O 4.394 4.483 -2.981
O 1.709 -1.620 4.253
O 3.363 3.052 -1.089
O 8.843 3.052 -1.089
O 0.000 0.312 2.529
O 6.103 0.312 4.706
O 0.000 3.052 2.096
O 1.432 4.761 0.636
O 4.671 -1.343 7.870
O 1.432 7.446 -0.636
O 4.671 1.343 6.598
O 6.103 3.052 5.138
O 0.000 5.792 2.529
O 6.103 5.792 4.706
O -2.740 3.052 8.323
O 2.740 3.052 8.323
O 4.394 7.723 2.981
O 1.709 1.620 10.215
O -4.671 4.761 6.598
O 4.671 4.761 6.598
O 0.000 3.052 8.755
O -1.709 7.723 4.253
O 1.709 7.723 4.253
```

DOS at the Fermi energy in states/eV per cell: 0.00
Symmetry: I4_1/amd, No. 141
Formation energy without anion corrections in eV/atom: -2.927
Total energy in eV/cell: -497.9

***

Material: LaSmS2O
Method: DFT, PBE
State: relaxed

The structure in extended XYZ format:
```
10
Lattice="4.027 0.000 0.000 0.000 4.027 0.000 0.000 0.000 14.242" Properties=species:S:1:pos:R:3 pbc="T T T"
La 1.007 1.007 1.256
La 3.020 3.020 12.985
Sm 1.007 1.007 8.875
Sm 3.020 3.020 5.366
S 1.007 1.007 5.815
S 1.007 1.007 11.428
S 3.020 3.020 2.813
S 3.020 3.020 8.427
O 1.007 3.020 0.000
O 3.020 1.007 0.000
```

DOS at the Fermi energy in states/eV per cell: 1.21
Symmetry: P4/nmm, No. 129
Formation energy without anion corrections in eV/atom: -2.554
Total energy in eV/cell: -71.3

***

Material: La2SnS3O2
Method: DFT, PBE
State: relaxed

The structure in extended XYZ format:
```
32
Lattice="5.905 0.000 0.000 0.000 19.281 0.000 0.000 0.000 5.892" Properties=species:S:1:pos:R:3 pbc="T T T"
La 1.464 1.213 0.011
La 1.464 8.428 0.011
La 1.488 10.853 2.957
La 1.488 18.069 2.957
La 4.416 1.213 2.935
La 4.416 8.428 2.935
La 4.441 10.853 5.881
La 4.441 18.069 5.881
Sn 0.906 14.461 5.480
Sn 2.046 4.820 2.534
Sn 3.859 14.461 3.358
Sn 4.998 4.820 0.412
S 1.417 14.461 3.043
S 1.443 2.570 3.020
S 1.443 7.071 3.020
S 1.509 12.211 0.074
S 1.509 16.711 0.074
S 1.535 4.820 0.097
S 4.369 14.461 5.795
S 4.395 2.570 5.818
S 4.395 7.071 5.818
S 4.462 12.211 2.872
S 4.462 16.711 2.872
S 4.487 4.820 2.849
O 0.005 0.008 4.412
O 0.005 9.633 4.412
O 2.947 19.274 1.466
O 2.947 9.648 1.466
O 2.957 0.008 4.426
O 2.957 9.633 4.426
O 5.900 19.274 1.480
O 5.900 9.648 1.480
```

DOS at the Fermi energy in states/eV per cell: 0.00
Symmetry: Pnma, No. 62
Formation energy without anion corrections in eV/atom: -2.135
Total energy in eV/cell: -213.0

***

Material: SrLaS2O8
Method: DFT, PBE
State: relaxed

The structure in extended XYZ format:
```
12
Lattice="5.250 0.000 0.000 -2.625 4.547 0.000 0.000 0.000 8.144" Properties=species:S:1:pos:R:3 pbc="T T T"
Sr 0.000 0.000 0.000
La 0.000 0.000 4.072
S 0.000 3.031 6.494
S 2.625 1.516 1.651
O -0.009 1.621 6.001
O -1.216 3.744 6.001
O 0.000 3.031 7.972
O 1.400 0.819 2.143
O 1.225 3.728 6.001
O 2.625 1.516 0.172
O 3.841 0.803 2.143
O 2.634 2.925 2.143
```

DOS at the Fermi energy in states/eV per cell: 3.56
Symmetry: P-3, No. 147
Formation energy without anion corrections in eV/atom: -2.051
Total energy in eV/cell: -79.1

***

Material: LaTaSO2
Method: DFT, PBE
State: relaxed

The structure in extended XYZ format:
```
5
Lattice="3.955 0.000 0.000 0.000 3.955 0.000 0.000 0.000 7.033" Properties=species:S:1:pos:R:3 pbc="T T T"
La 0.000 0.000 0.000
Ta 0.000 0.000 3.516
S 1.978 1.978 0.000
O 0.000 1.978 3.516
O 1.978 0.000 3.516
```

DOS at the Fermi energy in states/eV per cell: 1.53
Symmetry: P4/mmm, No. 123
Formation energy without anion corrections in eV/atom: -2.015
Total energy in eV/cell: -40.9

***

Material: La4Ti3S4O8
Method: DFT, PBE
State: relaxed

The structure in extended XYZ format:
```
38
Lattice="9.328 -1.978 0.000 9.328 1.978 0.000 -6.232 0.000 16.806" Properties=species:S:1:pos:R:3 pbc="T T T"
La -0.198 0.000 3.097
La -0.225 -0.060 7.372
La -0.706 -0.025 11.371
La -0.247 -0.076 15.616
La 12.671 -0.076 1.189
La 13.129 -0.025 5.435
La 12.648 -0.060 9.434
La 12.621 0.000 13.709
Ti 5.450 -0.183 2.898
Ti 9.328 0.315 0.000
Ti 7.210 0.106 5.229
Ti 5.213 0.106 11.577
Ti 6.973 -0.183 13.908
Ti 6.212 -0.782 8.403
S -4.567 -0.094 16.327
S 2.798 -0.042 3.350
S 2.645 -0.012 7.318
S 2.569 -0.047 11.594
S 9.854 -0.047 5.211
S 9.778 -0.012 9.488
S 9.625 -0.042 13.456
S 16.990 -0.094 0.478
O 4.903 1.908 11.593
O 7.520 1.908 5.213
O -2.017 0.083 9.261
O -2.030 -0.027 13.804
O 4.878 -0.064 1.096
O 5.342 -0.020 4.995
O 2.519 -0.041 15.062
O 7.311 -0.082 3.244
O 4.968 -0.085 9.667
O 7.455 -0.085 7.138
O 5.112 -0.082 13.562
O 9.905 -0.041 1.743
O 7.081 -0.020 11.811
O 7.545 -0.064 15.710
O 14.454 -0.027 3.002
O 14.440 0.083 7.544
```

Symmetry: C2, No. 5
Formation energy without anion corrections in eV/atom: -2.873
Total energy in eV/cell: -308.3

***

Material: LaTmSO2
Method: DFT, PBE
State: relaxed

The structure in extended XYZ format:
```
10
Lattice="6.566 0.000 0.000 0.000 4.084 0.000 -2.707 0.000 7.193" Properties=species:S:1:pos:R:3 pbc="T T T"
La 0.130 1.021 3.140
La 3.729 3.063 4.053
Tm -1.376 1.021 6.695
Tm 5.235 3.063 0.498
S 0.998 3.063 5.394
S 2.861 1.021 1.799
O -0.916 3.063 2.644
O -2.250 3.063 6.437
O 6.109 1.021 0.756
O 4.774 1.021 4.548
```

DOS at the Fermi energy in states/eV per cell: 0.00
Symmetry: P2_1/m, No. 11
Formation energy without anion corrections in eV/atom: -3.140
Total energy in eV/cell: -78.3

***

Material: La2TmS2O2
Method: DFT, PBE
State: relaxed

The structure in extended XYZ format:
```
14
Lattice="4.275 0.000 0.000 0.000 4.275 0.000 0.000 0.000 15.159" Properties=species:S:1:pos:R:3 pbc="T T T"
La 0.000 0.000 2.016
La 0.000 0.000 13.143
La 2.138 2.138 5.563
La 2.138 2.138 9.595
Tm 0.000 0.000 7.579
Tm 2.138 2.138 0.000
S 0.000 0.000 4.904
S 0.000 0.000 10.254
S 2.138 2.138 2.675
S 2.138 2.138 12.484
O 0.000 2.138 0.000
O 0.000 2.138 7.579
O 2.138 0.000 0.000
O 2.138 0.000 7.579
```

DOS at the Fermi energy in states/eV per cell: 6.97
Symmetry: I4/mmm, No. 139
Formation energy without anion corrections in eV/atom: -2.663
Total energy in eV/cell: -102.3

***

Listing volume for the structures above in their given order: 256.7 92.9 205.1 102.9 1077.8 231.0 670.8 194.4 110.0 620.1 192.9 277.0 Å³/cell.